Record 1
Here is a relaxed Dy3Ga9Ni2 crystal from the Alexandria database. Energies are from GGA-PBE.

Lattice parameters (Å, degrees): 4.1723 9.8130 12.1327 90.00 90.00 90.00
Space group Immm (No. 71)
Inequivalent atoms, fractional coordinates:
Dy 0.0000 0.0000 0.0000 x2
Dy 0.0000 0.0000 0.3189 x4
Ga 0.0000 0.2799 0.1255 x8
Ga 0.0000 0.3696 0.3391 x8
Ga 0.0000 0.5000 0.0000 x2
Ni 0.0000 0.2167 0.5000 x4

Calculated values
DFT formation energy = -0.57 eV per atom

***

Record 2
Here is a relaxed KSnHg2Ir crystal from the Alexandria database. Energies are from GGA-PBE.

Lattice parameters (Å, degrees): 5.4118 5.4118 5.0452 90.00 90.00 90.00
Space group P4/mmm (No. 123)
Inequivalent atoms, fractional coordinates:
K 0.0000 0.0000 0.0000 x1
Sn 0.5000 0.5000 0.0000 x1
Hg 0.0000 0.5000 0.5000 x2
Ir 0.5000 0.5000 0.5000 x1

Calculated values
DFT formation energy = -0.13 eV per atom

***

Record 3
Here is a relaxed TbNd6Tl2 crystal from the Alexandria database. Energies are from GGA-PBE.

Lattice parameters (Å, degrees): 16.1768 11.8382 6.0369 90.00 99.06 90.00
Space group C2/c (No. 15)
Inequivalent atoms, fractional coordinates:
Tb 0.0000 0.1452 0.2500 x4
Nd 0.0585 0.3873 0.5340 x8
Nd 0.1141 0.1123 0.8005 x8
Nd 0.2378 0.1240 0.3322 x8
Tl 0.1554 0.3624 0.0993 x8

Calculated values
DFT formation energy = -0.12 eV per atom

***

Record 4
Here is a relaxed Mg3TiPd4 crystal from the Alexandria database. Energies are from GGA-PBE.

Lattice parameters (Å, degrees): 3.1521 3.1521 13.0062 90.00 90.00 90.00
Space group P4/mmm (No. 123)
Inequivalent atoms, fractional coordinates:
Mg 0.0000 0.0000 0.0000 x1
Mg 0.0000 0.0000 0.2481 x2
Ti 0.0000 0.0000 0.5000 x1
Pd 0.5000 0.5000 0.1251 x2
Pd 0.5000 0.5000 0.3816 x2

Calculated values
DFT formation energy = -0.68 eV per atom

***

Record 5
Here is a relaxed K2CdO2 crystal from the Alexandria database. Energies are from GGA-PBE.

Lattice parameters (Å, degrees): 7.9769 7.9769 3.0187 90.00 90.00 90.00
Space group P4/mbm (No. 127)
Inequivalent atoms, fractional coordinates:
K 0.1294 0.3706 0.0000 x4
Cd 0.0000 0.0000 0.0000 x2
O 0.1730 0.6730 0.5000 x4

Calculated values
ΔE_f (raw) = -1.9 eV/f.u.

***

Record 6
Here is a relaxed CuNiRh crystal from the Alexandria database. Energies are from GGA-PBE.

Lattice parameters (Å, degrees): 4.4532 2.6479 6.3757 90.00 90.86 90.00
Space group P2_1/m (No. 11)
Inequivalent atoms, fractional coordinates:
Cu 0.2431 0.2500 0.4934 x2
Ni 0.0831 0.7500 0.1653 x2
Rh 0.4098 0.7500 0.8321 x2

Calculated values
DFT formation energy = 0.05 eV per atom

***

Record 7
Here is a relaxed MnSn3Pt crystal from the Alexandria database. Energies are from GGA-PBE.

Lattice parameters (Å, degrees): 5.2460 5.2460 5.2460 90.00 90.00 90.00
Space group Pm-3m (No. 221)
Inequivalent atoms, fractional coordinates:
Mn 0.0000 0.0000 0.0000 x1
Sn 0.0000 0.5000 0.5000 x3
Pt 0.5000 0.5000 0.5000 x1

Calculated values
DFT formation energy = 0.46 eV per atom

***

Record 8
Here is a relaxed ZnReBr2 crystal from the Alexandria database. Energies are from GGA-PBE.

Lattice parameters (Å, degrees): 3.7820 3.3016 7.9302 90.00 103.55 90.00
Space group Pm (No. 6)
Inequivalent atoms, fractional coordinates:
Zn 0.0000 0.0000 0.0000 x1
Re 0.5436 0.5000 0.0887 x1
Br 0.3833 0.5000 0.7617 x1
Br 0.6644 0.0000 0.3353 x1

Calculated values
ΔE_f (raw) = 0.8 eV/f.u.

***

Record 9
Here is a relaxed VAs3S crystal from the Alexandria database. Energies are from GGA-PBE.

Lattice parameters (Å, degrees): 4.7451 4.7451 4.7451 90.00 90.00 90.00
Space group Pm-3m (No. 221)
Inequivalent atoms, fractional coordinates:
V 0.0000 0.0000 0.0000 x1
As 0.0000 0.5000 0.5000 x3
S 0.5000 0.5000 0.5000 x1

Calculated values
ΔE_f (raw) = 4.3 eV/f.u.

***

Record 10
Here is a relaxed Tm6MgTl crystal from the Alexandria database. Energies are from GGA-PBE.

Lattice parameters (Å, degrees): 4.9562 4.9562 18.4853 90.00 90.00 90.00
Space group I4/mmm (No. 139)
Inequivalent atoms, fractional coordinates:
Tm 0.0000 0.0000 0.2478 x4
Tm 0.0000 0.5000 0.1181 x8
Mg 0.0000 0.0000 0.0000 x2
Tl 0.0000 0.0000 0.5000 x2

Calculated values
DFT formation energy = -0.11 eV per atom

***

Record 11
Here is a relaxed Pr10Er4Tm crystal from the Alexandria database. Energies are from GGA-PBE.

Lattice parameters (Å, degrees): 12.3824 12.3824 7.8525 90.00 90.00 90.00
Space group I4/m (No. 87)
Inequivalent atoms, fractional coordinates:
Pr 0.0000 0.5000 0.2500 x4
Pr 0.0993 0.2001 0.2503 x16
Er 0.1006 0.7005 0.0000 x8
Tm 0.0000 0.0000 0.5000 x2

Calculated values
DFT formation energy = 0.67 eV per atom

***

Record 12
Here is a relaxed Mn3PtI crystal from the Alexandria database. Energies are from GGA-PBE.

Lattice parameters (Å, degrees): 4.9954 4.9954 4.9954 90.00 90.00 90.00
Space group Pm-3m (No. 221)
Inequivalent atoms, fractional coordinates:
Mn 0.0000 0.0000 0.5000 x3
Pt 0.0000 0.0000 0.0000 x1
I 0.5000 0.5000 0.5000 x1

Calculated values
ΔE_f (raw) = 2.8 eV/f.u.

***

| no. | D(E_F) (states/eV per cell) |
| --- | --- |
| 1 | 9.60 |
| 2 | 1.44 |
| 3 | 44.06 |
| 4 | 5.59 |
| 5 | 2.65 |
| 6 | 8.34 |
| 7 | 3.95 |
| 8 | 2.26 |
| 9 | 6.95 |
| 10 | 16.66 |
| 11 | 45.55 |
| 12 | 4.08 |